# 1
{"formula": "Sc2GeSbSe", "functional": "GGA-PBEsol", "state": "optimized geometry", "cell": [[4.702, 0.000, 0.000], [0.000, 5.155, 0.000], [0.000, 0.000, 5.155]], "species": ["Sc", "Ge", "Sb", "Sc", "Se"], "fractional_positions": [[0.000, 0.500, 0.000], [0.000, 0.000, 0.000], [0.500, 0.500, 0.500], [0.000, 0.000, 0.500], [0.500, 0.000, 0.000]], "e_tot_ry_per_atom": -0.39895, "space_group": "P4/mmm, No. 123", "vol_a3_per_atom": 24.992}



# 2
{"formula": "Ge2Sb2Se", "functional": "GGA-PBEsol", "state": "optimized geometry", "cell": [[3.877, 0.000, 0.000], [0.000, 3.877, 0.000], [-1.939, -1.939, 7.609]], "species": ["Ge", "Sb", "Sb", "Ge", "Se"], "fractional_positions": [[0.750, 0.250, 0.500], [0.398, 0.398, 0.796], [0.602, 0.602, 0.204], [0.250, 0.750, 0.500], [0.000, 0.000, 0.000]], "e_tot_ry_per_atom": -0.32438, "space_group": "I4/mmm, No. 139", "vol_a3_per_atom": 22.875}